A geometry-optimized Tm2PuNiO8 structure. Source: the Alexandria database, functional PBE+U.

DFT total energy: -7.9120 eV/atom
Magnetization: 0.02 μB/f.u.

abc: 4.8933 4.8985 6.8781
angles: 84.60 95.32 95.09
With the nearest neighbours (Å) after each atom.
Fractional coordinates of all 12 atoms:
Tm1 0.4595 0.5398 0.7311  6 O 2.19-2.35
Tm2 0.5405 0.4602 0.2689  6 O 2.19-2.35
O1 0.2135 0.7834 0.1855  1 Pu 1.88
O2 0.7177 0.7180 0.5000  1 Ni 1.86
O3 0.2823 0.2820 0.5000  1 Ni 1.86
O4 0.1555 0.8441 0.7424  1 Ni 1.89
O5 0.6986 0.7014 0.9996  1 Pu 1.98
O6 0.8445 0.1559 0.2576  1 Ni 1.89
O7 0.3014 0.2986 0.0004  1 Pu 1.98
O8 0.7865 0.2166 0.8145  1 Pu 1.88
Pu1 0.0000 0.0000 0.0000  4 O 1.88-1.98
Ni1 0.0000 0.0000 0.5000  4 O 1.86-1.89